1:
Compound: NpNiB
Source: OQMD via LeMat-Bulk
Functional: PBE
Structure: optimized geometry

Cell: 5.8249 5.8249 5.8249 Å, 90.00 90.00 90.00°
Space group F-43m (No. 216)
Inequivalent atoms, fractional coordinates:
Np 0.0000 0.0000 0.0000 (multiplicity 4)
Ni 0.2500 0.2500 0.2500 (multiplicity 4)
B 0.2500 0.2500 0.7500 (multiplicity 4)

2:
Compound: NpNiB
Source: OQMD via LeMat-Bulk
Functional: PBE
Structure: optimized geometry

Cell: 5.7494 5.7494 5.7494 Å, 90.00 90.00 90.00°
Space group F-43m (No. 216)
Inequivalent atoms, fractional coordinates:
Np 0.0000 0.0000 0.0000 (multiplicity 4)
Ni 0.2500 0.2500 0.2500 (multiplicity 4)
B 0.0000 0.0000 0.5000 (multiplicity 4)

Out of the structures above, which one is the most stable? Solution: 2.